Here is Li2ZrAl after structural relaxation from the Alexandria database. Energies are from PBE.

The structure in POSCAR format:
```
Li2ZrAl
1.0
2.794 0.000 0.000
0.000 4.217 0.000
0.000 0.000 6.372
Li Zr Al
2 1 1
Cartesian
0.000 0.000 0.000
1.397 2.108 1.456
0.000 0.000 3.332
1.397 2.108 4.826
```

## Properties
The formation energy comes out at -21 meV/atom. Its symmetry is No. 25. The value obtained for the magnetic moment is 0.00 μB/cell. The density of states at the Fermi level comes out at 1.81 states/eV/cell. For the calculated total energy, the calculation gives -4.05 eV per atom. As for the crystal system: orthorhombic. As for the theoretical density: 2.9 g/cm3.

=====

Here is TlPIrO2 after structural relaxation from the Alexandria database. Energies are from PBE.

The structure in POSCAR format:
```
TlPIrO2
1.0
3.888 0.000 0.000
0.000 3.888 0.000
0.000 0.000 5.169
Tl P Ir O
1 1 1 2
Cartesian
0.000 0.000 0.000
1.944 1.944 0.000
1.944 1.944 2.585
0.000 1.944 2.585
1.944 0.000 2.585
```

## Properties
Its symmetry is No. 123. The value obtained for the magnetic moment is 0.00 μB/cell. The density of states at the Fermi level comes out at 5.07 states/eV/cell. The excess energy over the best structure of this formula in the dataset comes out at 0 meV/atom. For the calculated total energy, the calculation gives -5.49 eV per atom. As for the crystal system: tetragonal. As for the theoretical density: 9.8 g/cm3. Its formation energy from raw total energies is -0.9 eV per formula unit.

=====

Here is ScInSe2 after structural relaxation from the Alexandria database. Energies are from PBE.

The structure in POSCAR format:
```
ScInSe2
1.0
3.912 0.000 0.000
-1.956 3.388 0.000
0.000 0.000 23.360
Sc In Se
3 3 6
Cartesian
0.000 0.000 0.000
0.000 2.258 15.573
1.956 1.129 7.787
0.000 0.000 19.441
0.000 2.258 11.655
1.956 1.129 3.868
0.000 0.000 9.318
0.000 0.000 14.023
0.000 2.258 1.532
0.000 2.258 6.236
1.956 1.129 17.105
1.956 1.129 21.810
```

## Properties
Its symmetry is No. 160. The value obtained for the magnetic moment is 0.00 μB/cell. The density of states at the Fermi level comes out at 0.18 states/eV/cell. For the calculated total energy, the calculation gives -5.19 eV per atom. As for the crystal system: trigonal. As for the theoretical density: 5.1 g/cm3. Its formation energy from raw total energies is -4.7 eV per formula unit.

=====

Here is Bi2Pb3O8 after structural relaxation from the Alexandria database. Energies are from PBE.

The structure in POSCAR format:
```
Bi2Pb3O8
1.0
6.115 -3.295 0.000
6.115 3.295 0.000
-2.355 0.000 5.664
Bi Pb O
2 3 8
Cartesian
2.437 0.000 0.854
7.439 0.000 4.809
4.938 1.717 2.832
6.115 0.000 0.000
4.938 -1.717 2.832
0.188 0.000 2.189
4.174 1.529 0.729
3.492 0.000 3.113
5.702 1.529 4.934
4.174 -1.529 0.729
6.385 0.000 2.551
5.702 -1.529 4.934
9.689 0.000 3.474
```

## Properties
Its symmetry is No. 12. The value obtained for the magnetic moment is 0.00 μB/cell. For the calculated total energy, the calculation gives -5.50 eV per atom. As for the crystal system: monoclinic. As for the theoretical density: 8.5 g/cm3. Its formation energy from raw total energies is -12.9 eV per formula unit.

=====

Here is NdCrPt4 after structural relaxation from the Alexandria database. Energies are from PBE.

The structure in POSCAR format:
```
NdCrPt4
1.0
0.000 3.816 3.816
3.816 0.000 3.816
3.816 3.816 0.000
Nd Cr Pt
1 1 4
Cartesian
0.000 0.000 0.000
5.723 5.723 5.723
2.867 2.867 2.867
4.764 4.764 2.867
4.764 2.867 4.764
2.867 4.764 4.764
```

## Properties
The formation energy comes out at -572 meV/atom. Its symmetry is No. 216. The value obtained for the magnetic moment is 4.67 μB/cell. The density of states at the Fermi level comes out at 7.88 states/eV/cell. For the calculated total energy, the calculation gives -7.00 eV per atom. As for the crystal system: cubic. As for the theoretical density: 14.6 g/cm3.

=====

Here is MgScCuSn2 after structural relaxation from the Alexandria database. Energies are from PBE.

The structure in POSCAR format:
```
MgScCuSn2
1.0
5.193 0.000 0.000
0.000 5.193 0.000
0.000 0.000 5.265
Mg Sc Cu Sn
1 1 1 2
Cartesian
0.000 0.000 0.000
0.000 0.000 2.632
2.597 2.597 2.632
0.000 2.597 0.000
2.597 0.000 0.000
```

## Properties
The formation energy comes out at 794 meV/atom. Its symmetry is No. 123. The value obtained for the magnetic moment is 0.00 μB/cell. The density of states at the Fermi level comes out at 3.88 states/eV/cell. For the calculated total energy, the calculation gives -3.21 eV per atom. As for the crystal system: tetragonal. As for the theoretical density: 4.3 g/cm3.